1.
The following is a DFT calculation (PBE-GGA) of crystalline LiCuRu2 at its relaxed geometry.

mass density = 8.8 Mg/m³
electronic total energy = -5.97 eV/atom
ΔH_f (0 K) = 0.7 eV/f.u.
DOS at the Fermi energy = 2.78 states/eV per cell
symmetry = I-4m2 (119)
energy above the most stable polymorph in this dataset = 0.028 eV per atom

a = 4.337 Å, b = 4.337 Å, c = 4.337 Å
α = 125.85°, β = 125.85°, γ = 80.13°
Positions (direct):
Li: 0.000 0.000 0.000
Cu: 0.750 0.250 0.500
Ru: 0.250 0.750 0.500
Ru: 0.500 0.500 0.000



2.
The following is a DFT calculation (PBE-GGA) of crystalline NaHfZnH2 at its relaxed geometry.

mass density = 5.0 Mg/m³
electronic total energy = -2.75 eV/atom
DOS at the Fermi energy = 3.02 states/eV per cell
symmetry = P4/mmm (123)
energy above the most stable polymorph in this dataset = 0.332 eV per atom

a = 4.122 Å, b = 4.122 Å, c = 5.253 Å
α = 90.00°, β = 90.00°, γ = 90.00°
Positions (direct):
Na: 0.000 0.000 0.000
Hf: 0.500 0.500 0.000
Zn: 0.500 0.500 0.500
H: 0.000 0.500 0.500
H: 0.500 0.000 0.500



3.
The following is a DFT calculation (PBE-GGA) of crystalline Er2Se at its relaxed geometry.

mass density = 8.7 Mg/m³
electronic total energy = -5.23 eV/atom
DOS at the Fermi energy = 8.86 states/eV per cell
E_form (uncorrected) = -1.029 eV per atom
symmetry = C2/m (12)

a = 6.625 Å, b = 6.625 Å, c = 9.833 Å
α = 94.57°, β = 94.57°, γ = 33.31°
Positions (direct):
Er: 0.073 0.073 0.280
Er: 0.357 0.357 0.069
Er: 0.362 0.362 0.428
Er: 0.638 0.638 0.572
Er: 0.643 0.643 0.931
Er: 0.927 0.927 0.720
Se: 0.000 0.000 0.000
Se: 0.263 0.263 0.786
Se: 0.737 0.737 0.214



4.
The following is a DFT calculation (PBE-GGA) of crystalline TbPaReRh at its relaxed geometry.

mass density = 13.7 Mg/m³
electronic total energy = -8.77 eV/atom
ΔH_f (0 K) = -1.2 eV/f.u.
DOS at the Fermi energy = 2.14 states/eV per cell
symmetry = F-43m (216)

a = 4.882 Å, b = 4.882 Å, c = 4.882 Å
α = 60.00°, β = 60.00°, γ = 60.00°
Positions (direct):
Tb: 0.000 0.000 0.000
Pa: 0.500 0.500 0.500
Re: 0.750 0.750 0.750
Rh: 0.250 0.250 0.250



Please write out number 2 again, unchanged.
The following is a DFT calculation (PBE-GGA) of crystalline NaHfZnH2 at its relaxed geometry.

mass density = 5.0 Mg/m³
electronic total energy = -2.75 eV/atom
DOS at the Fermi energy = 3.02 states/eV per cell
symmetry = P4/mmm (123)
energy above the most stable polymorph in this dataset = 0.332 eV per atom

a = 4.122 Å, b = 4.122 Å, c = 5.253 Å
α = 90.00°, β = 90.00°, γ = 90.00°
Positions (direct):
Na: 0.000 0.000 0.000
Hf: 0.500 0.500 0.000
Zn: 0.500 0.500 0.500
H: 0.000 0.500 0.500
H: 0.500 0.000 0.500



Q: DOS at the Fermi energy of number 2 (NaHfZnH2)?
A: 3.02 states/eV per cell